DFT (PBE with a Hubbard U) results for a relaxed MnP4O11 crystal.

Properties
Polymorph energy (0 for the lowest one) in eV per atom: 0.000
Total energy in eV/atom: -7.30

a = 8.4923 Å, b = 12.7363 Å, c = 11.6106 Å
α = 90.00°, β = 131.99°, γ = 90.00°
With the nearest neighbours (Å) after each atom.
Sites, in units of the cell vectors:
Mn (0.0065, 0.0344, 0.2361)  6 O 2.16-2.23
Mn (0.0065, 0.4656, 0.7361)  6 O 2.16-2.23
Mn (0.9935, 0.5344, 0.2639)  6 O 2.16-2.23
Mn (0.9935, 0.9656, 0.7639)  6 O 2.16-2.23
P (0.0002, 0.2085, 0.6033)  4 O 1.48-1.65
P (0.0002, 0.2915, 0.1033)  4 O 1.48-1.65
P (0.9998, 0.7085, 0.8967)  4 O 1.48-1.65
P (0.9998, 0.7915, 0.3967)  4 O 1.48-1.65
P (0.3424, 0.5019, 0.6625)  4 O 1.48-1.66
P (0.3424, 0.9981, 0.1625)  4 O 1.48-1.66
P (0.3508, 0.1540, 0.6056)  4 O 1.47-1.61
P (0.3508, 0.3460, 0.1056)  4 O 1.47-1.61
P (0.3509, 0.6650, 0.2346)  4 O 1.47-1.61
P (0.3509, 0.8350, 0.7346)  4 O 1.47-1.61
P (0.6491, 0.1650, 0.2654)  4 O 1.47-1.61
P (0.6491, 0.3350, 0.7654)  4 O 1.47-1.61
P (0.6492, 0.6540, 0.8944)  4 O 1.47-1.61
P (0.6492, 0.8460, 0.3944)  4 O 1.47-1.61
P (0.6576, 0.0019, 0.8375)  4 O 1.48-1.66
P (0.6576, 0.4981, 0.3375)  4 O 1.48-1.66
O (0.0000, 0.1003, 0.6503)  1 P 1.48
O (0.0000, 0.3997, 0.1503)  1 P 1.48
O (0.0000, 0.6003, 0.8497)  1 P 1.48
O (0.0000, 0.8997, 0.3497)  1 P 1.48
O (0.0252, 0.1962, 0.1867)  1 P 1.48
O (0.0252, 0.3038, 0.6867)  1 P 1.48
O (0.1768, 0.2186, 0.5857)  2 P 1.57-1.65
O (0.1768, 0.2814, 0.0857)  2 P 1.57-1.65
O (0.2160, 0.7292, 0.0789)  2 P 1.57-1.65
O (0.2160, 0.7708, 0.5789)  2 P 1.57-1.65
O (0.2195, 0.5257, 0.7083)  1 P 1.48
O (0.2195, 0.9743, 0.2083)  1 P 1.48
O (0.2335, 0.6042, 0.2632)  1 P 1.47
O (0.2335, 0.8958, 0.7632)  1 P 1.47
O (0.2484, 0.0145, 0.0007)  1 P 1.49
O (0.2484, 0.4855, 0.5007)  1 P 1.49
O (0.2789, 0.0881, 0.4743)  1 P 1.47
O (0.2789, 0.4119, 0.9743)  1 P 1.47
O (0.4751, 0.0940, 0.7648)  2 P 1.58-1.66
O (0.4751, 0.4060, 0.2648)  2 P 1.58-1.66
O (0.4925, 0.1000, 0.2677)  2 P 1.58-1.65
O (0.4925, 0.4000, 0.7677)  2 P 1.58-1.65
O (0.4924, 0.7449, 0.8624)  2 P 1.61
O (0.4924, 0.7551, 0.3624)  2 P 1.61
O (0.5075, 0.6000, 0.2323)  2 P 1.58-1.65
O (0.5075, 0.9000, 0.7323)  2 P 1.58-1.65
O (0.5076, 0.2449, 0.6376)  2 P 1.61
O (0.5076, 0.2551, 0.1376)  2 P 1.61
O (0.5249, 0.5940, 0.7352)  2 P 1.58-1.66
O (0.5249, 0.9060, 0.2352)  2 P 1.58-1.66
O (0.7211, 0.5881, 0.0257)  1 P 1.47
O (0.7211, 0.9119, 0.5257)  1 P 1.47
O (0.7516, 0.5145, 0.4993)  1 P 1.49
O (0.7516, 0.9855, 0.9993)  1 P 1.49
O (0.7665, 0.1042, 0.2368)  1 P 1.47
O (0.7665, 0.3958, 0.7368)  1 P 1.47
O (0.7805, 0.0257, 0.7917)  1 P 1.48
O (0.7805, 0.4743, 0.2917)  1 P 1.48
O (0.7840, 0.2292, 0.4211)  2 P 1.57-1.65
O (0.7840, 0.2708, 0.9211)  2 P 1.57-1.65
O (0.8232, 0.7186, 0.9143)  2 P 1.57-1.65
O (0.8232, 0.7814, 0.4143)  2 P 1.57-1.65
O (0.9748, 0.6962, 0.3133)  1 P 1.48
O (0.9748, 0.8038, 0.8133)  1 P 1.48